one | {
  "formula": "CsCoOs3",
  "functional": "PBE",
  "state": "optimized geometry",
  "lattice": [[4.640, 0.000, 0.000], [0.000, 4.640, 0.000], [0.000, 0.000, 4.640]],
  "species": ["Cs", "Co", "Os", "Os", "Os"],
  "frac_coords": [[0.000, 0.000, 0.000], [0.500, 0.500, 0.500], [0.000, 0.500, 0.500], [0.500, 0.000, 0.500], [0.500, 0.500, 0.000]],
  "m_tot_mub_per_cell": 0.001,
  "crystal_system": "cubic",
  "spacegroup": "Pm-3m"
}

two | {
  "formula": "CsCoOs3",
  "functional": "PBE",
  "state": "optimized geometry",
  "lattice": [[4.854, 0.000, 0.000], [0.000, 4.854, 0.000], [0.000, 0.000, 4.854]],
  "species": ["Cs", "Co", "Os", "Os", "Os"],
  "frac_coords": [[0.000, 0.000, 0.000], [0.500, 0.500, 0.500], [0.000, 0.000, 0.500], [0.000, 0.500, 0.000], [0.500, 0.000, 0.000]],
  "m_tot_mub_per_cell": 0.049,
  "crystal_system": "cubic",
  "spacegroup": "Pm-3m"
}

one is favored, and the nearest alternative lies 2121 meV/atom above it.

one | {
  "formula": "CsCo3Pb",
  "functional": "PBE",
  "state": "optimized geometry",
  "lattice": [[5.158, 0.000, 0.000], [0.000, 5.158, 0.000], [0.000, 0.000, 5.158]],
  "species": ["Cs", "Co", "Co", "Co", "Pb"],
  "frac_coords": [[0.000, 0.000, 0.000], [0.000, 0.500, 0.500], [0.500, 0.000, 0.500], [0.500, 0.500, 0.000], [0.500, 0.500, 0.500]],
  "m_tot_mub_per_cell": 5.703,
  "crystal_system": "cubic",
  "spacegroup": "Pm-3m"
}

two | {
  "formula": "CsCo3Pb",
  "functional": "PBE",
  "state": "optimized geometry",
  "lattice": [[4.832, 0.000, 0.000], [0.000, 4.832, 0.000], [0.000, 0.000, 4.832]],
  "species": ["Cs", "Co", "Co", "Co", "Pb"],
  "frac_coords": [[0.000, 0.000, 0.000], [0.000, 0.000, 0.500], [0.000, 0.500, 0.000], [0.500, 0.000, 0.000], [0.500, 0.500, 0.500]],
  "m_tot_mub_per_cell": 2.638,
  "crystal_system": "cubic",
  "spacegroup": "Pm-3m"
}

one is favored, and the nearest alternative lies 826 meV/atom above it.

one | {
  "formula": "CsCoPd2",
  "functional": "PBE",
  "state": "optimized geometry",
  "lattice": [[6.889, 0.000, 0.000], [0.000, 6.889, 0.000], [0.000, 0.000, 6.889]],
  "species": ["Cs", "Cs", "Cs", "Cs", "Co", "Co", "Co", "Co", "Pd", "Pd", "Pd", "Pd", "Pd", "Pd", "Pd", "Pd"],
  "frac_coords": [[0.000, 0.000, 0.000], [0.000, 0.500, 0.500], [0.500, 0.000, 0.500], [0.500, 0.500, 0.000], [0.000, 0.000, 0.500], [0.000, 0.500, 0.000], [0.500, 0.000, 0.000], [0.500, 0.500, 0.500], [0.250, 0.250, 0.250], [0.250, 0.250, 0.750], [0.250, 0.750, 0.250], [0.250, 0.750, 0.750], [0.750, 0.250, 0.250], [0.750, 0.250, 0.750], [0.750, 0.750, 0.250], [0.750, 0.750, 0.750]],
  "m_tot_mub_per_cell": 7.706,
  "crystal_system": "cubic",
  "spacegroup": "Fm-3m"
}

two | {
  "formula": "CsCoPd2",
  "functional": "PBE",
  "state": "optimized geometry",
  "lattice": [[5.492, 0.000, 0.000], [0.000, 5.492, 0.000], [0.000, 0.000, 15.915]],
  "species": ["Cs", "Cs", "Cs", "Cs", "Co", "Co", "Co", "Co", "Pd", "Pd", "Pd", "Pd", "Pd", "Pd", "Pd", "Pd"],
  "frac_coords": [[0.000, 0.250, 0.375], [0.000, 0.750, 0.625], [0.500, 0.250, 0.125], [0.500, 0.750, 0.875], [0.000, 0.250, 0.875], [0.000, 0.750, 0.125], [0.500, 0.250, 0.625], [0.500, 0.750, 0.375], [0.000, 0.000, 0.000], [0.000, 0.500, 0.000], [0.250, 0.250, 0.750], [0.250, 0.750, 0.250], [0.500, 0.000, 0.500], [0.500, 0.500, 0.500], [0.750, 0.250, 0.750], [0.750, 0.750, 0.250]],
  "m_tot_mub_per_cell": 11.168,
  "crystal_system": "tetragonal",
  "spacegroup": "I4_1/amd"
}

two is favored, and the nearest alternative lies 394 meV/atom above it.

one | {
  "formula": "CsCoPt2",
  "functional": "PBE",
  "state": "optimized geometry",
  "lattice": [[5.400, 0.000, 0.000], [0.000, 5.400, 0.000], [0.000, 0.000, 15.797]],
  "species": ["Cs", "Cs", "Cs", "Cs", "Co", "Co", "Co", "Co", "Pt", "Pt", "Pt", "Pt", "Pt", "Pt", "Pt", "Pt"],
  "frac_coords": [[0.000, 0.250, 0.375], [0.000, 0.750, 0.625], [0.500, 0.250, 0.125], [0.500, 0.750, 0.875], [0.000, 0.250, 0.875], [0.000, 0.750, 0.125], [0.500, 0.250, 0.625], [0.500, 0.750, 0.375], [0.000, 0.000, 0.000], [0.000, 0.500, 0.000], [0.250, 0.250, 0.750], [0.250, 0.750, 0.250], [0.500, 0.000, 0.500], [0.500, 0.500, 0.500], [0.750, 0.250, 0.750], [0.750, 0.750, 0.250]],
  "m_tot_mub_per_cell": 8.751,
  "crystal_system": "tetragonal",
  "spacegroup": "I4_1/amd"
}

two | {
  "formula": "CsCoPt2",
  "functional": "PBE",
  "state": "optimized geometry",
  "lattice": [[6.858, 0.000, 0.000], [0.000, 6.858, 0.000], [0.000, 0.000, 6.858]],
  "species": ["Cs", "Cs", "Cs", "Cs", "Co", "Co", "Co", "Co", "Pt", "Pt", "Pt", "Pt", "Pt", "Pt", "Pt", "Pt"],
  "frac_coords": [[0.000, 0.000, 0.000], [0.000, 0.500, 0.500], [0.500, 0.000, 0.500], [0.500, 0.500, 0.000], [0.000, 0.000, 0.500], [0.000, 0.500, 0.000], [0.500, 0.000, 0.000], [0.500, 0.500, 0.500], [0.250, 0.250, 0.250], [0.250, 0.250, 0.750], [0.250, 0.750, 0.250], [0.250, 0.750, 0.750], [0.750, 0.250, 0.250], [0.750, 0.250, 0.750], [0.750, 0.750, 0.250], [0.750, 0.750, 0.750]],
  "m_tot_mub_per_cell": 7.704,
  "crystal_system": "cubic",
  "spacegroup": "Fm-3m"
}

one is favored, and the nearest alternative lies 721 meV/atom above it.

one | {
  "formula": "CsRbCo3",
  "functional": "PBE",
  "state": "optimized geometry",
  "lattice": [[5.090, 0.000, 0.000], [0.000, 5.090, 0.000], [0.000, 0.000, 5.090]],
  "species": ["Cs", "Rb", "Co", "Co", "Co"],
  "frac_coords": [[0.000, 0.000, 0.000], [0.500, 0.500, 0.500], [0.000, 0.000, 0.500], [0.000, 0.500, 0.000], [0.500, 0.000, 0.000]],
  "m_tot_mub_per_cell": 2.793,
  "crystal_system": "cubic",
  "spacegroup": "Pm-3m"
}

two | {
  "formula": "CsRbCo3",
  "functional": "PBE",
  "state": "optimized geometry",
  "lattice": [[6.277, 0.000, 0.000], [0.000, 6.277, 0.000], [0.000, 0.000, 6.277]],
  "species": ["Cs", "Rb", "Co", "Co", "Co"],
  "frac_coords": [[0.000, 0.000, 0.000], [0.500, 0.500, 0.500], [0.000, 0.500, 0.500], [0.500, 0.000, 0.500], [0.500, 0.500, 0.000]],
  "m_tot_mub_per_cell": 7.000,
  "crystal_system": "cubic",
  "spacegroup": "Pm-3m"
}

two is favored, and the nearest alternative lies 100 meV/atom above it.

one | {
  "formula": "Cs2RbCo",
  "functional": "PBE",
  "state": "optimized geometry",
  "lattice": [[10.197, 0.000, 0.000], [0.000, 10.197, 0.000], [0.000, 0.000, 14.466]],
  "species": ["Cs", "Cs", "Cs", "Cs", "Cs", "Cs", "Cs", "Cs", "Rb", "Rb", "Rb", "Rb", "Co", "Co", "Co", "Co"],
  "frac_coords": [[0.004, 0.250, 0.125], [0.250, 0.504, 0.375], [0.250, 0.996, 0.875], [0.496, 0.250, 0.625], [0.504, 0.750, 0.625], [0.750, 0.004, 0.875], [0.750, 0.496, 0.375], [0.996, 0.750, 0.125], [0.000, 0.000, 0.500], [0.000, 0.500, 0.750], [0.500, 0.000, 0.250], [0.500, 0.500, 0.000], [0.000, 0.000, 0.000], [0.000, 0.500, 0.250], [0.500, 0.000, 0.750], [0.500, 0.500, 0.500]],
  "m_tot_mub_per_cell": 5.941,
  "crystal_system": "tetragonal",
  "spacegroup": "I-42d"
}

two | {
  "formula": "Cs2RbCo",
  "functional": "PBE",
  "state": "optimized geometry",
  "lattice": [[9.508, 0.000, 0.000], [0.000, 9.508, 0.000], [0.000, 0.000, 9.508]],
  "species": ["Cs", "Cs", "Cs", "Cs", "Cs", "Cs", "Cs", "Cs", "Rb", "Rb", "Rb", "Rb", "Co", "Co", "Co", "Co"],
  "frac_coords": [[0.250, 0.250, 0.250], [0.250, 0.250, 0.750], [0.250, 0.750, 0.250], [0.250, 0.750, 0.750], [0.750, 0.250, 0.250], [0.750, 0.250, 0.750], [0.750, 0.750, 0.250], [0.750, 0.750, 0.750], [0.000, 0.000, 0.000], [0.000, 0.500, 0.500], [0.500, 0.000, 0.500], [0.500, 0.500, 0.000], [0.000, 0.000, 0.500], [0.000, 0.500, 0.000], [0.500, 0.000, 0.000], [0.500, 0.500, 0.500]],
  "m_tot_mub_per_cell": 7.623,
  "crystal_system": "cubic",
  "spacegroup": "Fm-3m"
}

two is favored, and the nearest alternative lies 35 meV/atom above it.

one | {
  "formula": "CsCoRe3",
  "functional": "PBE",
  "state": "optimized geometry",
  "lattice": [[4.820, 0.000, 0.000], [0.000, 4.820, 0.000], [0.000, 0.000, 4.820]],
  "species": ["Cs", "Co", "Re", "Re", "Re"],
  "frac_coords": [[0.000, 0.000, 0.000], [0.500, 0.500, 0.500], [0.000, 0.000, 0.500], [0.000, 0.500, 0.000], [0.500, 0.000, 0.000]],
  "m_tot_mub_per_cell": 0.001,
  "crystal_system": "cubic",
  "spacegroup": "Pm-3m"
}

two | {
  "formula": "CsCoRe3",
  "functional": "PBE",
  "state": "optimized geometry",
  "lattice": [[4.670, 0.000, 0.000], [0.000, 4.670, 0.000], [0.000, 0.000, 4.670]],
  "species": ["Cs", "Co", "Re", "Re", "Re"],
  "frac_coords": [[0.000, 0.000, 0.000], [0.500, 0.500, 0.500], [0.000, 0.500, 0.500], [0.500, 0.000, 0.500], [0.500, 0.500, 0.000]],
  "m_tot_mub_per_cell": 3.701,
  "crystal_system": "cubic",
  "spacegroup": "Pm-3m"
}

two is favored, and the nearest alternative lies 2132 meV/atom above it.

one | {
  "formula": "CsCoRu3",
  "functional": "PBE",
  "state": "optimized geometry",
  "lattice": [[4.828, 0.000, 0.000], [0.000, 4.828, 0.000], [0.000, 0.000, 4.828]],
  "species": ["Cs", "Co", "Ru", "Ru", "Ru"],
  "frac_coords": [[0.000, 0.000, 0.000], [0.500, 0.500, 0.500], [0.000, 0.000, 0.500], [0.000, 0.500, 0.000], [0.500, 0.000, 0.000]],
  "m_tot_mub_per_cell": 0.212,
  "crystal_system": "cubic",
  "spacegroup": "Pm-3m"
}

two | {
  "formula": "CsCoRu3",
  "functional": "PBE",
  "state": "optimized geometry",
  "lattice": [[4.636, 0.000, 0.000], [0.000, 4.636, 0.000], [0.000, 0.000, 4.636]],
  "species": ["Cs", "Co", "Ru", "Ru", "Ru"],
  "frac_coords": [[0.000, 0.000, 0.000], [0.500, 0.500, 0.500], [0.000, 0.500, 0.500], [0.500, 0.000, 0.500], [0.500, 0.500, 0.000]],
  "m_tot_mub_per_cell": 0.014,
  "crystal_system": "cubic",
  "spacegroup": "Pm-3m"
}

two is favored, and the nearest alternative lies 1604 meV/atom above it.

one | {
  "formula": "CsCo2S2",
  "functional": "PBE",
  "state": "optimized geometry",
  "lattice": [[3.665, 0.000, 0.000], [0.000, 3.665, 0.000], [0.000, 0.000, 7.371]],
  "species": ["Cs", "Co", "Co", "S", "S"],
  "frac_coords": [[0.000, 0.000, 0.000], [0.000, 0.500, 0.500], [0.500, 0.000, 0.500], [0.500, 0.500, 0.312], [0.500, 0.500, 0.688]],
  "m_tot_mub_per_cell": 2.381,
  "crystal_system": "tetragonal",
  "spacegroup": "P4/mmm"
}

two | {
  "formula": "CsCo2S2",
  "functional": "PBE",
  "state": "optimized geometry",
  "lattice": [[4.260, 0.000, 0.000], [0.000, 4.260, 0.000], [0.000, 0.000, 12.420]],
  "species": ["Cs", "Cs", "Co", "Co", "Co", "Co", "S", "S", "S", "S"],
  "frac_coords": [[0.000, 0.000, 0.000], [0.500, 0.500, 0.500], [0.000, 0.000, 0.303], [0.000, 0.000, 0.697], [0.500, 0.500, 0.197], [0.500, 0.500, 0.803], [0.000, 0.500, 0.250], [0.000, 0.500, 0.750], [0.500, 0.000, 0.250], [0.500, 0.000, 0.750]],
  "m_tot_mub_per_cell": 0.748,
  "crystal_system": "tetragonal",
  "spacegroup": "I4/mmm"
}

three | {
  "formula": "CsCo2S2",
  "functional": "PBE",
  "state": "optimized geometry",
  "lattice": [[3.787, 0.000, 0.000], [0.000, 3.787, 0.000], [0.000, 0.000, 13.941]],
  "species": ["Cs", "Cs", "Co", "Co", "Co", "Co", "S", "S", "S", "S"],
  "frac_coords": [[0.000, 0.000, 0.000], [0.500, 0.500, 0.500], [0.000, 0.500, 0.250], [0.000, 0.500, 0.750], [0.500, 0.000, 0.250], [0.500, 0.000, 0.750], [0.000, 0.000, 0.334], [0.000, 0.000, 0.666], [0.500, 0.500, 0.166], [0.500, 0.500, 0.834]],
  "m_tot_mub_per_cell": 3.842,
  "crystal_system": "tetragonal",
  "spacegroup": "I4/mmm"
}

three is favored, and the nearest alternative lies 145 meV/atom above it.

one | {
  "formula": "CsCo3S",
  "functional": "PBE",
  "state": "optimized geometry",
  "lattice": [[4.792, 0.000, 0.000], [0.000, 4.792, 0.000], [0.000, 0.000, 4.792]],
  "species": ["Cs", "Co", "Co", "Co", "S"],
  "frac_coords": [[0.000, 0.000, 0.000], [0.000, 0.000, 0.500], [0.000, 0.500, 0.000], [0.500, 0.000, 0.000], [0.500, 0.500, 0.500]],
  "m_tot_mub_per_cell": 4.067,
  "crystal_system": "cubic",
  "spacegroup": "Pm-3m"
}

two | {
  "formula": "CsCo3S",
  "functional": "PBE",
  "state": "optimized geometry",
  "lattice": [[4.462, 0.000, 0.000], [0.000, 4.462, 0.000], [0.000, 0.000, 4.462]],
  "species": ["Cs", "Co", "Co", "Co", "S"],
  "frac_coords": [[0.000, 0.000, 0.000], [0.000, 0.500, 0.500], [0.500, 0.000, 0.500], [0.500, 0.500, 0.000], [0.500, 0.500, 0.500]],
  "m_tot_mub_per_cell": 4.000,
  "crystal_system": "cubic",
  "spacegroup": "Pm-3m"
}

two is favored, and the nearest alternative lies 1741 meV/atom above it.

one | {
  "formula": "CsCoSb3",
  "functional": "PBE",
  "state": "optimized geometry",
  "lattice": [[5.270, 0.000, 0.000], [0.000, 5.270, 0.000], [0.000, 0.000, 5.270]],
  "species": ["Cs", "Co", "Sb", "Sb", "Sb"],
  "frac_coords": [[0.000, 0.000, 0.000], [0.500, 0.500, 0.500], [0.000, 0.500, 0.500], [0.500, 0.000, 0.500], [0.500, 0.500, 0.000]],
  "m_tot_mub_per_cell": 1.780,
  "crystal_system": "cubic",
  "spacegroup": "Pm-3m"
}

two | {
  "formula": "CsCoSb3",
  "functional": "PBE",
  "state": "optimized geometry",
  "lattice": [[6.132, 0.000, 0.000], [0.000, 6.132, 0.000], [0.000, 0.000, 6.132]],
  "species": ["Cs", "Co", "Sb", "Sb", "Sb"],
  "frac_coords": [[0.000, 0.000, 0.000], [0.500, 0.500, 0.500], [0.000, 0.000, 0.500], [0.000, 0.500, 0.000], [0.500, 0.000, 0.000]],
  "m_tot_mub_per_cell": 2.438,
  "crystal_system": "cubic",
  "spacegroup": "Pm-3m"
}

one is favored, and the nearest alternative lies 1928 meV/atom above it.

one | {
  "formula": "CsSc2Co2",
  "functional": "PBE",
  "state": "optimized geometry",
  "lattice": [[8.269, 0.000, 0.000], [0.000, 8.269, 0.000], [0.000, 0.000, 3.159]],
  "species": ["Cs", "Cs", "Sc", "Sc", "Sc", "Sc", "Co", "Co", "Co", "Co"],
  "frac_coords": [[0.000, 0.000, 0.000], [0.500, 0.500, 0.000], [0.127, 0.373, 0.000], [0.373, 0.873, 0.000], [0.627, 0.127, 0.000], [0.873, 0.627, 0.000], [0.125, 0.625, 0.500], [0.375, 0.125, 0.500], [0.625, 0.875, 0.500], [0.875, 0.375, 0.500]],
  "m_tot_mub_per_cell": 0.000,
  "crystal_system": "tetragonal",
  "spacegroup": "P4/mbm"
}

two | {
  "formula": "CsSc2Co2",
  "functional": "PBE",
  "state": "optimized geometry",
  "lattice": [[3.588, 0.000, 0.000], [0.000, 3.588, 0.000], [0.000, 0.000, 21.948]],
  "species": ["Cs", "Cs", "Sc", "Sc", "Sc", "Sc", "Co", "Co", "Co", "Co"],
  "frac_coords": [[0.000, 0.000, 0.000], [0.500, 0.500, 0.500], [0.000, 0.000, 0.330], [0.000, 0.000, 0.670], [0.500, 0.500, 0.170], [0.500, 0.500, 0.830], [0.000, 0.500, 0.250], [0.000, 0.500, 0.750], [0.500, 0.000, 0.250], [0.500, 0.000, 0.750]],
  "m_tot_mub_per_cell": 3.423,
  "crystal_system": "tetragonal",
  "spacegroup": "I4/mmm"
}

two is favored, and the nearest alternative lies 61 meV/atom above it.